1.
This record from Alexandria describes a relaxed Y2CoSe crystal. The functional is PBE.

Cell: 3.4649 3.4826 7.0741 Å, 90.00 90.08 90.00°
With the nearest neighbours (Å) after each atom.
Fractional coordinates of all 4 atoms:
Y: 0.0007 0.0000 0.2324  4 Co 2.96, 4 Se 3.10, 1 Y 3.29
Y: 0.9993 0.0000 0.7676  4 Co 2.96, 4 Se 3.10, 1 Y 3.29
Co: 0.5000 0.5000 0.0000  8 Y 2.96
Se: 0.5000 0.5000 0.5000  8 Y 3.10, 2 Se 3.46

**Size of the total moment**: 0.155 μB per atom
**Space-group type**: No. 10
**Raw total energy**: -6.64 eV per atom



2.
This record from Alexandria describes a relaxed CdGeAs2 crystal. The functional is PBE.

Cell: 6.7348 9.1866 5.8582 Å, 90.00 90.00 90.00°
With the nearest neighbours (Å) after each atom.
Fractional coordinates of all 16 atoms:
Cd: 0.1450 0.2371 0.0000  4 As 2.83-3.09, 1 Ge 2.94
Cd: 0.3550 0.7371 0.5000  4 As 2.83-3.09, 1 Ge 2.94
Cd: 0.6450 0.2629 0.0000  4 As 2.83-3.09, 1 Ge 2.94
Cd: 0.8550 0.7629 0.5000  4 As 2.83-3.09, 1 Ge 2.94
Ge: 0.1997 0.3811 0.4433  3 As 2.58-2.64
Ge: 0.3003 0.8811 0.9433  3 As 2.58-2.64
Ge: 0.6997 0.1189 0.4433  3 As 2.58-2.64
Ge: 0.8003 0.6189 0.9433  3 As 2.58-2.64
As: 0.1353 0.9975 0.3026  1 As 2.48, 1 Ge 2.61
As: 0.1616 0.6291 0.0900  1 As 2.48, 2 Ge 2.58-2.64
As: 0.3384 0.1291 0.5900  1 As 2.48, 2 Ge 2.58-2.64
As: 0.3647 0.4975 0.8026  1 As 2.48, 1 Ge 2.61
As: 0.6353 0.5025 0.3026  1 As 2.48, 1 Ge 2.61
As: 0.6616 0.8709 0.0900  1 As 2.48, 2 Ge 2.58-2.64
As: 0.8384 0.3709 0.5900  1 As 2.48, 2 Ge 2.58-2.64
As: 0.8647 0.0025 0.8026  1 As 2.48, 1 Ge 2.61

**Size of the total moment**: 0.000 μB per atom
**Space-group type**: No. 33
**Raw total energy**: -3.58 eV per atom



3.
This record from Alexandria describes a relaxed GeI2NO crystal. The functional is PBE.

Cell: 6.1517 6.1517 3.3680 Å, 90.00 90.00 90.00°
With the nearest neighbours (Å) after each atom.
Fractional coordinates of all 5 atoms:
Ge: 0.0000 0.0000 0.0000  2 N 1.68
I: 0.0000 0.5000 0.0000  2 Ge 3.08, 2 I 3.37
I: 0.5000 0.0000 0.0000  2 Ge 3.08, 2 I 3.37
N: 0.0000 0.0000 0.5000  2 Ge 1.68
O: 0.5000 0.5000 0.5000  2 O 3.37, 8 I 3.51

**E above lowest polymorph**: 0.2208 eV/atom
**Size of the total moment**: 0.384 μB per atom
**Space-group type**: No. 123



4.
This record from Alexandria describes a relaxed Tb3PS2 crystal. The functional is PBE.

Cell: 6.8850 6.8850 6.8850 Å, 146.60 132.10 59.65°
With the nearest neighbours (Å) after each atom.
Fractional coordinates of all 6 atoms:
Tb: 0.0000 0.0000 0.0000  2 P 2.80, 4 S 2.81
Tb: 0.3383 0.3383 0.0000  2 P 2.76, 4 S 2.80-2.84
Tb: 0.6617 0.6617 0.0000  2 P 2.76, 4 S 2.80-2.84
P: 0.5000 0.0000 0.5000  6 Tb 2.76-2.80
S: 0.1676 0.6676 0.5000  6 Tb 2.80-2.84
S: 0.8324 0.3324 0.5000  6 Tb 2.80-2.84

**E above lowest polymorph**: 0.0000 eV/atom
**Size of the total moment**: 0.000 μB per atom
**Space-group type**: No. 71



5.
This record from Alexandria describes a relaxed Ta2TiV9 crystal. The functional is PBE.

Cell: 8.4718 8.4718 8.4718 Å, 35.26 35.26 35.26°
With the nearest neighbours (Å) after each atom.
Fractional coordinates of all 12 atoms:
Ta: 0.1452 0.1452 0.1452  12 V 2.91-3.01, 3 Ta 3.13
Ta: 0.8548 0.8548 0.8548  12 V 2.91-3.01, 3 Ta 3.13
Ti: 0.0000 0.0000 0.0000  18 V 2.96-3.23
V: 0.0802 0.5838 0.5838  7 V 2.44-2.58
V: 0.3327 0.3327 0.3327  6 V 2.44-2.48
V: 0.4162 0.4162 0.9198  7 V 2.44-2.58
V: 0.4162 0.9198 0.4162  7 V 2.44-2.58
V: 0.5000 0.5000 0.5000  6 V 2.50
V: 0.5838 0.0802 0.5838  7 V 2.44-2.58
V: 0.5838 0.5838 0.0802  7 V 2.44-2.58
V: 0.6673 0.6673 0.6673  6 V 2.44-2.48
V: 0.9198 0.4162 0.4162  7 V 2.44-2.58

**Size of the total moment**: 0.000 μB per atom
**Space-group type**: No. 166
**Raw total energy**: -9.37 eV per atom



6.
This record from Alexandria describes a relaxed LiPmThGa crystal. The functional is PBE.

Cell: 5.2131 5.2131 5.2131 Å, 60.00 60.00 60.00°
With the nearest neighbours (Å) after each atom.
Fractional coordinates of all 4 atoms:
Li: 0.0000 0.0000 0.0000  4 Pm 3.19, 4 Th 3.19
Pm: 0.7500 0.7500 0.7500  4 Li 3.19, 4 Ga 3.19
Th: 0.2500 0.2500 0.2500  4 Li 3.19, 4 Ga 3.19
Ga: 0.5000 0.5000 0.5000  4 Pm 3.19, 4 Th 3.19

**Size of the total moment**: 0.000 μB per atom
**Space-group type**: No. 216
**Raw total energy**: -4.47 eV per atom



7.
This record from Alexandria describes a relaxed KNa8Tl6 crystal. The functional is PBE.

Cell: 8.5418 8.5418 8.5418 Å, 66.83 66.83 66.83°
With the nearest neighbours (Å) after each atom.
Fractional coordinates of all 15 atoms:
K: 0.0000 0.0000 0.0000  6 Tl 3.50, 6 Na 3.82
Na: 0.1356 0.4297 0.8018  4 Tl 3.32-3.44, 4 Na 3.60-3.66
Na: 0.1982 0.8644 0.5703  4 Tl 3.32-3.44, 4 Na 3.60-3.66
Na: 0.2881 0.2881 0.2881  6 Tl 3.19-3.35
Na: 0.4297 0.8018 0.1356  4 Tl 3.32-3.44, 4 Na 3.60-3.66
Na: 0.5703 0.1982 0.8644  4 Tl 3.32-3.44, 4 Na 3.60-3.66
Na: 0.7119 0.7119 0.7119  6 Tl 3.19-3.35
Na: 0.8018 0.1356 0.4297  4 Tl 3.32-3.44, 4 Na 3.60-3.66
Na: 0.8644 0.5703 0.1982  4 Tl 3.32-3.44, 4 Na 3.60-3.66
Tl: 0.0677 0.6722 0.3921  1 Tl 3.18, 6 Na 3.19-3.44, 1 K 3.50
Tl: 0.3278 0.6079 0.9323  1 Tl 3.18, 6 Na 3.19-3.44, 1 K 3.50
Tl: 0.3921 0.0677 0.6722  1 Tl 3.18, 6 Na 3.19-3.44, 1 K 3.50
Tl: 0.6079 0.9323 0.3278  1 Tl 3.18, 6 Na 3.19-3.44, 1 K 3.50
Tl: 0.6722 0.3921 0.0677  1 Tl 3.18, 6 Na 3.19-3.44, 1 K 3.50
Tl: 0.9323 0.3278 0.6079  1 Tl 3.18, 6 Na 3.19-3.44, 1 K 3.50

**Size of the total moment**: 0.000 μB per atom
**Space-group type**: No. 148
**Raw total energy**: -1.77 eV per atom



8.
This record from Alexandria describes a relaxed CePr6Hg5 crystal. The functional is PBE.

Cell: 9.5144 9.5144 9.5144 Å, 146.64 131.15 60.44°
With the nearest neighbours (Å) after each atom.
Fractional coordinates of all 12 atoms:
Ce: 0.0000 0.0000 0.0000  8 Pr 3.46, 4 Hg 3.72
Pr: 0.0846 0.8289 0.2557  7 Hg 3.31-3.47, 1 Ce 3.46
Pr: 0.2699 0.5000 0.7699  6 Hg 3.28-3.32, 2 Ce 3.46, 1 Pr 3.62
Pr: 0.4267 0.1711 0.2557  7 Hg 3.31-3.47, 1 Ce 3.46
Pr: 0.5733 0.8289 0.7443  7 Hg 3.31-3.47, 1 Ce 3.46
Pr: 0.7301 0.5000 0.2301  6 Hg 3.28-3.32, 2 Ce 3.46, 1 Pr 3.62
Pr: 0.9154 0.1711 0.7443  7 Hg 3.31-3.47, 1 Ce 3.46
Hg: 0.1533 0.6533 0.5000  8 Pr 3.30-3.47
Hg: 0.3307 0.3307 0.0000  8 Pr 3.31-3.34
Hg: 0.5000 0.0000 0.5000  8 Pr 3.28-3.41
Hg: 0.6693 0.6693 0.0000  8 Pr 3.31-3.34
Hg: 0.8467 0.3467 0.5000  8 Pr 3.30-3.47

**Size of the total moment**: 0.296 μB per atom
**Space-group type**: No. 71
**Raw total energy**: -3.35 eV per atom



9.
This record from Alexandria describes a relaxed Ac2NdUN4 crystal. The functional is PBE.

Cell: 6.3039 3.6634 6.5158 Å, 90.00 108.76 90.00°
With the nearest neighbours (Å) after each atom.
Fractional coordinates of all 8 atoms:
Ac: 0.0000 0.0000 0.0000  6 N 2.90-3.01
Ac: 0.5000 0.5000 0.0000  6 N 2.70-2.72
Nd: 0.0000 0.5000 0.5000  6 N 2.56-2.58
U: 0.5000 0.0000 0.5000  6 N 2.20-2.36
N: 0.2766 0.0000 0.7000  1 U 2.20
N: 0.2946 0.5000 0.3053  2 U 2.36, 1 Nd 2.56
N: 0.7054 0.5000 0.6947  2 U 2.36, 1 Nd 2.56
N: 0.7234 0.0000 0.3000  1 U 2.20

**Size of the total moment**: 0.000 μB per atom
**Space-group type**: No. 10
**Raw total energy**: -8.45 eV per atom



10.
This record from Alexandria describes a relaxed CsUNb2S8 crystal. The functional is PBE.

Cell: 10.4210 10.4210 10.4210 Å, 37.10 37.10 37.10°
With the nearest neighbours (Å) after each atom.
Fractional coordinates of all 12 atoms:
Cs: 0.0000 0.0000 0.0000  12 S 3.86-3.99
U: 0.5000 0.5000 0.5000  6 S 2.63
Nb: 0.2408 0.2408 0.2408  4 S 2.20-2.33
Nb: 0.7592 0.7592 0.7592  4 S 2.20-2.33
S: 0.1259 0.7682 0.4462  1 Nb 2.33
S: 0.2318 0.5538 0.8741  1 Nb 2.33
S: 0.3164 0.3164 0.3164  1 Nb 2.20
S: 0.4462 0.1259 0.7682  1 Nb 2.33
S: 0.5538 0.8741 0.2318  1 Nb 2.33
S: 0.6836 0.6836 0.6836  1 Nb 2.20
S: 0.7682 0.4462 0.1259  1 Nb 2.33
S: 0.8741 0.2318 0.5538  1 Nb 2.33

**Size of the total moment**: 0.083 μB per atom
**Space-group type**: No. 148
**Raw total energy**: -6.39 eV per atom